[1]
Here is a geometry-optimized La3AlSi structure from the Alexandria database. Energies are from PBE-GGA.

CIF file:
```
data_La3AlSi
_space_group_name_H-M_alt 'P 1'
_space_group_IT_number 1
_cell_length_a 5.663
_cell_length_b 5.663
_cell_length_c 5.663
_cell_angle_alpha 90.00
_cell_angle_beta 90.00
_cell_angle_gamma 90.00
loop_
_space_group_symop_operation_xyz
'x,y,z'
loop_
_atom_site_label
_atom_site_type_symbol
_atom_site_fract_x
_atom_site_fract_y
_atom_site_fract_z
Si1 Si 0.000 0.000 0.000
Al1 Al 0.500 0.500 0.500
La1 La 0.000 0.500 0.000
La2 La 0.000 0.000 0.500
La3 La 0.500 0.000 0.000
```

Results
calculated total energy	-24.30	eV per cell
SG	Pm-3m, No. 221
formation energy from raw total energies	-69.4	meV/atom
ρ	4.31	Mg/m³
excess energy over the best structure of this formula in the dataset	340	meV/atom

[2]
Here is a geometry-optimized Sr3Li2Ag7 structure from the Alexandria database. Energies are from PBE-GGA.

CIF file:
```
data_Sr3Li2Ag7
_space_group_name_H-M_alt 'P 1'
_space_group_IT_number 1
_cell_length_a 5.969
_cell_length_b 5.969
_cell_length_c 9.662
_cell_angle_alpha 72.01
_cell_angle_beta 72.01
_cell_angle_gamma 60.00
loop_
_space_group_symop_operation_xyz
'x,y,z'
loop_
_atom_site_label
_atom_site_type_symbol
_atom_site_fract_x
_atom_site_fract_y
_atom_site_fract_z
Sr1 Sr 0.000 0.000 0.000
Sr2 Sr 0.860 0.860 0.421
Sr3 Sr 0.140 0.140 0.579
Li1 Li 0.668 0.668 0.996
Li2 Li 0.332 0.332 0.004
Ag1 Ag 0.500 0.500 0.500
Ag2 Ag 0.922 0.420 0.238
Ag3 Ag 0.420 0.922 0.238
Ag4 Ag 0.420 0.420 0.238
Ag5 Ag 0.078 0.580 0.762
Ag6 Ag 0.580 0.580 0.762
Ag7 Ag 0.580 0.078 0.762
```

Results
calculated total energy	-31.57	eV per cell
SG	R-3m, No. 166
ρ	6.15	Mg/m³

Question: Look up the calculated total energy of the first one.
Answer: -24.30 eV per cell